# 1
# GaSiNi5

A geometry-optimized GaSiNi5 structure (PBE-GGA, the Alexandria database).

Output
uncorrected formation energy	-177	meV per atom
total moment	0.00	μB per atom
E above lowest polymorph	0.169	eV/atom

a = 8.1297 Å, b = 5.0465 Å, c = 8.2759 Å
α = 90.00°, β = 96.09°, γ = 90.00°
Space group C2/c (No. 15)
Asymmetric unit:
Ga1 0.0000 0.0000 0.0000 (multiplicity 4)
Si1 0.0000 0.3928 0.2500 (multiplicity 4)
Ni1 0.0000 0.1787 0.7500 (multiplicity 4)
Ni2 0.1490 0.4522 0.9995 (multiplicity 8)
Ni3 0.2233 0.1467 0.2509 (multiplicity 8)

=====

# 2
# Ga3SiNi4

A geometry-optimized Ga3SiNi4 structure (PBE-GGA, the Alexandria database).

Output
uncorrected formation energy	-438	meV per atom
total moment	0.00	μB per atom

a = 6.6087 Å, b = 6.6087 Å, c = 7.8596 Å
α = 90.00°, β = 90.00°, γ = 120.00°
Space group R3 (No. 146, hexagonal axes)
Asymmetric unit:
Ga1 0.0426 0.7755 0.0000 (multiplicity 9)
Si1 0.0000 0.0000 0.5425 (multiplicity 3)
Ni1 0.0000 0.0000 0.2519 (multiplicity 3)
Ni2 0.1008 0.4040 0.4248 (multiplicity 9)

=====

# 3
# Ga2SiNi2

A geometry-optimized Ga2SiNi2 structure (PBE-GGA, the Alexandria database).

Output
uncorrected formation energy	-184	meV per atom
total moment	0.00	μB per atom
E above lowest polymorph	0.211	eV/atom

a = 6.0972 Å, b = 6.0972 Å, c = 3.6499 Å
α = 90.00°, β = 90.00°, γ = 90.00°
Space group P4/mbm (No. 127)
Asymmetric unit:
Ga1 0.1548 0.3452 0.0000 (multiplicity 4)
Si1 0.0000 0.0000 0.5000 (multiplicity 2)
Ni1 0.1526 0.6526 0.5000 (multiplicity 4)

=====

# 4
# GaSiNi3

A geometry-optimized GaSiNi3 structure (PBE-GGA, the Alexandria database).

Output
uncorrected formation energy	-322	meV per atom
total moment	0.00	μB per atom
E above lowest polymorph	0.005	eV/atom

a = 8.8778 Å, b = 8.9372 Å, c = 7.0053 Å
α = 90.00°, β = 118.77°, γ = 90.00°
Space group C2/c (No. 15)
Asymmetric unit:
Ga1 0.1085 0.1397 0.1776 (multiplicity 8)
Si1 0.0000 0.1947 0.7500 (multiplicity 4)
Si2 0.0000 0.4460 0.2500 (multiplicity 4)
Ni1 0.0944 0.3794 0.5929 (multiplicity 8)
Ni2 0.2009 0.1258 0.5924 (multiplicity 8)
Ni3 0.2195 0.3827 0.0152 (multiplicity 8)

=====

# 5
# GaSiNi5

A geometry-optimized GaSiNi5 structure (PBE-GGA, the Alexandria database).

Output
uncorrected formation energy	-346	meV per atom
total moment	0.00	μB per atom
E above lowest polymorph	0.000	eV/atom

a = 3.6695 Å, b = 3.6695 Å, c = 6.1935 Å
α = 90.00°, β = 90.00°, γ = 90.00°
Space group P4/mmm (No. 123)
Asymmetric unit:
Ga1 0.0000 0.0000 0.0000 (multiplicity 1)
Si1 0.5000 0.5000 0.5000 (multiplicity 1)
Ni1 0.0000 0.5000 0.2816 (multiplicity 4)
Ni2 0.5000 0.5000 0.0000 (multiplicity 1)

=====

# 6
# GaSiNi3

A geometry-optimized GaSiNi3 structure (PBE-GGA, the Alexandria database).

Output
uncorrected formation energy	-327	meV per atom
total moment	0.00	μB per atom
E above lowest polymorph	0.000	eV/atom

a = 4.2416 Å, b = 4.9688 Å, c = 6.2818 Å
α = 82.31°, β = 72.62°, γ = 78.62°
Space group P-1 (No. 2)
Asymmetric unit:
Ga1 0.0246 0.1999 0.3154 (multiplicity 2)
Si1 0.4072 0.2017 0.8423 (multiplicity 2)
Ni1 0.0490 0.6890 0.2915 (multiplicity 2)
Ni2 0.4267 0.6990 0.8696 (multiplicity 2)
Ni3 0.5000 0.0000 0.5000 (multiplicity 1)
Ni4 0.5000 0.5000 0.5000 (multiplicity 1)

=====

# 7
# Ga4SiNi15

A geometry-optimized Ga4SiNi15 structure (PBE-GGA, the Alexandria database).

Output
uncorrected formation energy	-320	meV per atom
total moment	0.17	μB per atom

a = 3.5658 Å, b = 3.5658 Å, c = 17.8578 Å
α = 90.00°, β = 90.00°, γ = 90.00°
Space group P4/mmm (No. 123)
Asymmetric unit:
Ga1 0.0000 0.0000 0.1009 (multiplicity 2)
Ga2 0.0000 0.0000 0.3021 (multiplicity 2)
Si1 0.0000 0.0000 0.5000 (multiplicity 1)
Ni1 0.0000 0.5000 0.0000 (multiplicity 2)
Ni2 0.0000 0.5000 0.2017 (multiplicity 4)
Ni3 0.0000 0.5000 0.4050 (multiplicity 4)
Ni4 0.5000 0.5000 0.1009 (multiplicity 2)
Ni5 0.5000 0.5000 0.3034 (multiplicity 2)
Ni6 0.5000 0.5000 0.5000 (multiplicity 1)

=====

# 8
# Ga3SiNi3

A geometry-optimized Ga3SiNi3 structure (PBE-GGA, the Alexandria database).

Output
uncorrected formation energy	-283	meV per atom
total moment	0.00	μB per atom
E above lowest polymorph	0.000	eV/atom

a = 8.0089 Å, b = 8.0089 Å, c = 5.0592 Å
α = 90.00°, β = 90.00°, γ = 120.00°
Space group R-3m (No. 166, hexagonal axes)
Asymmetric unit:
Ga1 0.0000 0.5000 0.0000 (multiplicity 9)
Si1 0.0000 0.0000 0.0000 (multiplicity 3)
Ni1 0.0000 0.5000 0.5000 (multiplicity 9)

=====

Computed V, in the same sequence as the records: 12.1, 12.4, 13.6, 12.2, 11.9, 12.3, 11.4, 13.4 Å³/atom.